Compound: Mg2InNi2
Source: Alexandria
Functional: GGA-PBEsol
Structure: optimized geometry

Structure (POSCAR):
```
Mg2InNi2
1.0
3.774 0.000 0.000
0.000 6.528 0.000
0.000 0.000 6.528
Mg In Ni
4 2 4
Cartesian
1.887 5.465 2.201
1.887 4.327 5.465
1.887 2.201 1.063
1.887 1.063 4.327
0.000 3.264 3.264
0.000 0.000 0.000
0.000 2.421 5.685
0.000 0.843 2.421
0.000 5.685 4.107
0.000 4.107 0.843
```

Summary:
The formation enthalpy at 0 K is -0.15 eV per atom. The total moment is 0.000 μB/atom. For the total energy, the calculation gives -3.89 eV/atom.

---

Compound: MgIn2O4
Source: Alexandria
Functional: GGA-PBEsol
Structure: optimized geometry

Structure (POSCAR):
```
MgIn2O4
1.0
6.333 0.000 0.000
3.167 5.485 0.000
3.167 1.828 5.171
O Mg In
8 2 4
Cartesian
11.159 6.443 4.556
6.333 5.573 1.908
7.993 2.698 1.908
9.500 5.485 1.846
9.500 3.569 4.556
7.841 6.443 4.556
6.333 3.657 4.618
4.674 2.698 1.908
9.500 5.485 3.878
6.333 3.657 2.586
3.167 3.657 0.646
3.167 1.828 3.232
1.583 0.914 0.646
4.750 0.914 0.646
```

Summary:
The formation energy without anion corrections is -1906 meV per atom. The total moment is 0.000 μB/atom. The calculation puts the offset from the most stable computed form at 0.003 eV/atom. For the total energy, the calculation gives -6.00 eV/atom.

---

Compound: MgIn2O4
Source: Alexandria
Functional: GGA-PBEsol
Structure: optimized geometry

Structure (POSCAR):
```
MgIn2O4
1.0
6.248 0.000 0.000
3.124 5.453 -0.002
3.124 1.740 5.168
In O Mg
4 8 2
Cartesian
6.248 3.597 2.583
3.124 1.721 3.195
3.124 0.000 0.000
9.372 5.473 1.971
7.724 2.754 3.937
4.772 4.439 1.229
6.248 1.942 1.200
7.724 4.439 1.229
3.124 1.839 1.126
6.248 5.251 3.966
4.772 2.754 3.937
9.372 5.354 4.040
1.562 2.726 -0.001
4.686 2.726 -0.001
```

Summary:
The formation energy without anion corrections is -1909 meV per atom. The total moment is 0.000 μB/atom. The calculation puts the offset from the most stable computed form at 0.000 eV/atom. For the total energy, the calculation gives -6.01 eV/atom.

---

Compound: MgInOs2
Source: Alexandria
Functional: GGA-PBEsol
Structure: optimized geometry

Structure (POSCAR):
```
MgInOs2
1.0
2.917 0.000 0.000
0.000 4.893 -0.010
0.000 -1.928 4.497
Os In Mg
2 1 1
Cartesian
0.000 2.447 -0.005
0.000 -0.964 2.249
1.458 0.000 0.000
1.458 1.483 2.244
```

Summary:
The formation enthalpy at 0 K is 0.54 eV per atom. The total moment is 0.001 μB/atom. For the total energy, the calculation gives -6.74 eV/atom.

---

Compound: Mg2InOs
Source: Alexandria
Functional: GGA-PBEsol
Structure: optimized geometry

Structure (POSCAR):
```
Mg2InOs
1.0
4.609 0.000 0.000
2.304 3.991 0.000
2.304 1.330 3.763
Mg Os In
2 1 1
Cartesian
0.000 0.000 0.000
2.304 1.330 0.941
6.913 3.991 2.822
4.609 2.661 1.882
```

Summary:
The formation enthalpy at 0 K is 0.15 eV per atom. The total moment is 0.000 μB/atom. For the total energy, the calculation gives -4.51 eV/atom.

---

Compound: Mg2InOs
Source: Alexandria
Functional: GGA-PBEsol
Structure: optimized geometry

Structure (POSCAR):
```
Mg2InOs
1.0
2.830 0.000 0.000
0.000 4.763 0.000
0.000 0.000 5.199
Mg In Os
2 1 1
Cartesian
0.000 2.382 3.675
0.000 0.000 0.137
1.415 2.382 1.205
1.415 0.000 2.782
```

Summary:
The formation enthalpy at 0 K is 0.19 eV per atom. The total moment is 0.000 μB/atom. For the total energy, the calculation gives -4.47 eV/atom.

---

Compound: MgInOs2
Source: Alexandria
Functional: GGA-PBEsol
Structure: optimized geometry

Structure (POSCAR):
```
MgInOs2
1.0
2.799 -0.002 0.000
-0.372 5.010 0.000
-1.214 -2.504 4.543
Os In Mg
2 1 1
Cartesian
0.607 1.252 2.271
-0.607 -1.252 2.271
1.400 -0.001 0.000
-0.186 2.505 0.000
```

Summary:
The formation enthalpy at 0 K is 0.49 eV per atom. The total moment is 0.001 μB/atom. For the total energy, the calculation gives -6.79 eV/atom.

---

Compound: MgInOs
Source: Alexandria
Functional: GGA-PBEsol
Structure: optimized geometry

Structure (POSCAR):
```
MgInOs
1.0
2.899 -0.028 0.000
-1.117 2.676 0.000
-0.891 -1.324 6.910
In Os Mg
1 1 1
Cartesian
0.891 1.324 6.780
0.000 0.000 4.559
0.891 1.324 2.481
```

Summary:
The formation enthalpy at 0 K is 0.44 eV per atom. The total moment is 0.001 μB/atom. For the total energy, the calculation gives -5.19 eV/atom.